Record 1
DFT (GGA-PBE) results for a relaxed structure of TaTl2Zn.

Unit cell a=7.052 b=7.052 c=7.052 alpha=90.00 beta=90.00 gamma=90.00
Space group Fm-3m (No. 225)
Asymmetric unit:
Ta 0.000 0.000 0.000 x4
Tl 0.250 0.250 0.250 x8
Zn 0.000 0.000 0.500 x4

* E above lowest polymorph: 504.4 meV/atom
* E_form: 0.856 eV/atom

=====

Record 2
DFT (GGA-PBE) results for a relaxed structure of Mn2TlHRh.

Unit cell a=4.123 b=4.123 c=3.900 alpha=90.00 beta=90.00 gamma=90.00
Space group P4/mmm (No. 123)
Asymmetric unit:
Mn 0.000 0.500 0.000 x2
Tl 0.000 0.000 0.500 x1
H 0.500 0.500 0.000 x1
Rh 0.500 0.500 0.500 x1

* uncorrected energy: -6.18 eV/atom

=====

Record 3
DFT (GGA-PBE) results for a relaxed structure of GeMoRu2.

Unit cell a=2.937 b=2.937 c=6.673 alpha=90.00 beta=90.00 gamma=90.00
Space group P4/mmm (No. 123)
Asymmetric unit:
Ge 0.000 0.000 0.000 x1
Mo 0.000 0.000 0.500 x1
Ru 0.500 0.500 0.228 x2

* E_form: -0.109 eV/atom

=====

Record 4
DFT (GGA-PBE) results for a relaxed structure of Ba3Zn2As4.

Unit cell a=17.065 b=4.526 c=7.313 alpha=90.00 beta=113.07 gamma=90.00
Space group C2/m (No. 12)
Asymmetric unit:
Ba 0.000 0.000 0.000 x2
Ba 0.144 0.000 0.587 x4
Zn 0.171 0.500 0.962 x4
As 0.011 0.500 0.680 x4
As 0.206 0.000 0.163 x4

* E above lowest polymorph: 0.0 meV/atom
* E_form: -0.856 eV/atom

=====

Record 5
DFT (GGA-PBE) results for a relaxed structure of NdErNiRu.

Unit cell a=6.873 b=6.873 c=6.873 alpha=90.00 beta=90.00 gamma=90.00
Space group F-43m (No. 216)
Asymmetric unit:
Nd 0.000 0.000 0.000 x4
Er 0.000 0.000 0.500 x4
Ni 0.250 0.250 0.250 x4
Ru 0.250 0.250 0.750 x4

* E_form: -0.291 eV/atom

=====

Record 6
DFT (GGA-PBE) results for a relaxed structure of TaMnRh2W.

Unit cell a=4.646 b=4.646 c=4.559 alpha=90.00 beta=90.00 gamma=90.00
Space group P4/mmm (No. 123)
Asymmetric unit:
Ta 0.000 0.000 0.000 x1
Mn 0.000 0.000 0.500 x1
Rh 0.000 0.500 0.000 x2
W 0.500 0.500 0.500 x1

* E_form: 1.598 eV/atom

=====

Record 7
DFT (GGA-PBE) results for a relaxed structure of NaLaRhO4.

Unit cell a=3.903 b=3.903 c=12.380 alpha=90.00 beta=90.00 gamma=90.00
Space group I4mm (No. 107)
Asymmetric unit:
Na 0.000 0.000 0.000 x2
La 0.000 0.000 0.702 x2
Rh 0.000 0.000 0.360 x2
O 0.000 0.000 0.188 x2
O 0.000 0.000 0.523 x2
O 0.000 0.500 0.339 x4

* ΔE_f (raw): -1831 meV per atom

=====

Record 8
DFT (GGA-PBE) results for a relaxed structure of Hg2BrCl.

Unit cell a=6.061 b=3.850 c=6.480 alpha=90.00 beta=107.49 gamma=90.00
Space group P2/m (No. 10)
Asymmetric unit:
Hg 0.130 0.000 0.364 x2
Br 0.000 0.500 0.000 x1
Cl 0.500 0.500 0.500 x1

* ΔE_f (raw): -340 meV per atom
* E above lowest polymorph: 5.1 meV/atom

=====

Respective magnetic moment values: 1.7, 7.2, 0.0, 0.0, 0.0, 0.1, 0.6, 0.0 μB per formula unit.